--- A ---
Ga2MoI | PBE | optimized geometry

Cell: 4.819 4.819 4.819 Å, 60.00 60.00 60.00°
Sites, in units of the cell vectors:
I: 0.500 0.500 0.500
Mo: 0.000 0.000 0.000
Ga: 0.250 0.250 0.250
Ga: 0.750 0.750 0.750

Summary:
crystal system	cubic



--- B ---
Ga2MoI | PBE | optimized geometry

Cell: 6.297 6.297 7.894 Å, 66.50 66.50 90.00°
Last column: magnetic moment on the atom in μB.
Sites, in units of the cell vectors:
I: 0.000 0.000 0.000  0.02
I: 0.750 0.250 0.500  0.02
Mo: 0.500 0.500 0.000  0.95
Mo: 0.250 0.750 0.500  0.95
Ga: 0.552 0.125 0.250  -0.02
Ga: 0.198 0.625 0.250  -0.01
Ga: 0.375 0.448 0.750  -0.01
Ga: 0.875 0.802 0.750  -0.02

Summary:
crystal system	tetragonal



Need the numbers? Relative energies in meV/atom: A 102; B 0.